Record 1
DFT (PBE) results for AsAuCl2 after structural relaxation.

a b c (Å): 3.2337 4.7844 13.9457
angles (deg): 90.00 90.00 90.00
Last column: nearest neighbours and their distance in Å.
Space group Immm (No. 71)
Asymmetric unit:
As (0.0000, 0.0000, 0.0000) [2 per cell]  4 Cl 2.58, 4 Au 2.89
Au (0.0000, 0.0000, 0.5000) [2 per cell]  4 As 2.89, 4 Cl 3.12, 2 Au 3.23
Cl (0.0000, 0.5000, 0.3560) [4 per cell]  2 As 2.58

## Properties
Magnetization in μB per formula unit: 0.00
Energy relative to the elements, uncorrected in meV/atom: -17
Distance to the lowest polymorph of the same formula in meV/atom: 349.2

Record 2
DFT (PBE) results for AsAu2Cl after structural relaxation.

a b c (Å): 3.4974 3.5183 7.0239
angles (deg): 90.00 90.00 90.00
Last column: nearest neighbours and their distance in Å.
Space group Pmm2 (No. 25)
Asymmetric unit:
As (0.0000, 0.0000, 0.0000) [1 per cell]  5 Au 2.60-2.68
Au (0.0000, 0.0000, 0.3704) [1 per cell]  1 As 2.60
Au (0.5000, 0.5000, 0.1439) [1 per cell]  4 As 2.68, 4 Au 2.95
Cl (0.5000, 0.5000, 0.6053) [1 per cell]  5 Au 2.98-3.24

## Properties
Magnetization in μB per formula unit: 0.00
Energy relative to the elements, uncorrected in meV/atom: 63
Distance to the lowest polymorph of the same formula in meV/atom: 98.8